Computed, not measured: a geometry-optimized BaPrCd2 structure at the PBE level of DFT.

- Calculated total energy: -0.174 Ry/atom
- Formation energy from the elements: -0.240 eV/atom

abc: 8.1147 8.1147 8.1147
angles: 90.00 90.00 90.00
Last column: nearest neighbours and their distance in Å.
Space group Fm-3m (No. 225)
Asymmetric unit:
Ba1 0.0000 0.0000 0.0000 x4  8 Cd 3.51
Pr1 0.0000 0.0000 0.5000 x4  8 Cd 3.51
Cd1 0.2500 0.2500 0.2500 x8  4 Ba 3.51, 4 Pr 3.51